[1]
Density functional theory data (PBE) for crystalline SrTaSbI2 at its relaxed geometry.

abc: 5.6594 5.6594 5.4871
angles: 90.00 90.00 90.00
With the nearest neighbours (Å) after each atom.
Space group P4/mmm (No. 123)
Inequivalent atoms, fractional coordinates:
Sr 0.0000 0.0000 0.0000 (multiplicity 1)  8 I 3.94, 4 Sb 4.00
Ta 0.5000 0.5000 0.5000 (multiplicity 1)  2 Sb 2.74, 4 I 2.83
Sb 0.5000 0.5000 0.0000 (multiplicity 1)  2 Ta 2.74
I 0.0000 0.5000 0.5000 (multiplicity 2)  2 Ta 2.83

Computed properties:
E_form (uncorrected), eV per atom: -0.098
DFT total energy, eV/atom: -4.25
Crystal system: tetragonal

---

[2]
Density functional theory data (PBE) for crystalline SrTaSbI2 at its relaxed geometry.

abc: 6.0581 6.0581 6.5755
angles: 90.00 90.00 90.00
With the nearest neighbours (Å) after each atom.
Space group P4/mmm (No. 123)
Inequivalent atoms, fractional coordinates:
Sr 0.0000 0.0000 0.0000 (multiplicity 1)  4 I 3.03, 2 Sb 3.29
Ta 0.5000 0.5000 0.5000 (multiplicity 1)  4 Sb 4.28, 8 I 4.47
Sb 0.0000 0.0000 0.5000 (multiplicity 1)  2 Sr 3.29
I 0.0000 0.5000 0.0000 (multiplicity 2)  2 Sr 3.03

Computed properties:
E_form (uncorrected), eV per atom: 0.958
DFT total energy, eV/atom: -3.19
Crystal system: tetragonal

---

[3]
Density functional theory data (PBE) for crystalline SrTcSb2I at its relaxed geometry.

abc: 6.0174 6.0174 5.9465
angles: 90.00 90.00 90.00
With the nearest neighbours (Å) after each atom.
Space group P4/mmm (No. 123)
Inequivalent atoms, fractional coordinates:
Sr 0.0000 0.0000 0.0000 (multiplicity 1)  2 I 2.97, 4 Sb 3.01
Tc 0.5000 0.5000 0.5000 (multiplicity 1)  8 Sb 4.23, 4 I 4.25
Sb 0.0000 0.5000 0.0000 (multiplicity 2)  2 Sr 3.01
I 0.0000 0.0000 0.5000 (multiplicity 1)  2 Sr 2.97

Computed properties:
E_form (uncorrected), eV per atom: 1.627
DFT total energy, eV/atom: -2.74
Crystal system: tetragonal